CsLa2NiC after structural relaxation. Source: the Alexandria database, functional PBE.

a b c (Å): 5.802 4.602 5.802
angles (deg): 90.00 90.00 90.00
Each line ends with the local moment (μB).
Fractional positions:
C1 0.500 0.500 0.500  0.41
La1 0.500 0.000 0.000  -0.04
La2 0.000 0.000 0.500  -0.02
Cs1 0.000 0.000 0.000  -0.01
Ni1 0.000 0.500 0.000  0.03

Computed properties:
The calculation puts the formation energy at 2.22 eV per atom. As for the crystal system: tetragonal. The spin magnetization comes out at 0.64 μB/f.u. Its symmetry is P4/mmm.

***

Y4Si after structural relaxation. Source: the Alexandria database, functional PBE.

a b c (Å): 5.493 5.493 5.493
angles (deg): 90.00 90.00 90.00
Each line ends with the local moment (μB).
Fractional positions:
Si1 0.500 0.500 0.500  0.00
Y1 0.000 0.000 0.000  0.16
Y2 0.000 0.500 0.500  0.13
Y3 0.500 0.500 0.000  0.13
Y4 0.500 0.000 0.500  0.13

Computed properties:
As for the crystal system: cubic. The spin magnetization comes out at 1.34 μB/f.u. Its symmetry is Pm-3m. For the energy relative to the elements, uncorrected, the calculation gives -0.0426 eV/atom.

***

Number 1: E -2.93 eV/atom. Number 2: E -6.30 eV/atom.